First-principles (PBE with a Hubbard U) data for K2CaWO4 after structural relaxation, as listed in Alexandria.

DFT total energy: -5.93 eV per atom

Cell lengths 6.2710, 6.2710, 7.4476 Å; angles 90.00, 90.00, 90.00 degrees
With the nearest neighbours (Å) after each atom.
Space group I-4 (No. 82)
Unique sites:
K 0.0000 0.0000 0.0000 [2 per cell]  8 O 2.86-3.12
K 0.0000 0.5000 0.2500 [2 per cell]  4 O 2.70
Ca 0.0000 0.0000 0.5000 [2 per cell]  4 O 2.29
W 0.0000 0.5000 0.7500 [2 per cell]  4 O 1.92
O 0.1478 0.7614 0.6967 [8 per cell]  1 W 1.92